Entry 1:
VASP calculation (GGA-PBE) on a geometry-optimized Zr2BH structure.

Cell lengths 3.429, 3.429, 9.364 Å; angles 90.00, 90.00, 90.00 degrees
Element x y z (fractional)
Zr 0.701 0.484 0.220
Zr 0.701 0.483 0.734
Zr 0.201 0.983 0.482
Zr 0.201 0.984 0.996
B 0.201 0.983 0.745
B 0.701 0.483 0.471
H 0.201 0.983 0.232
H 0.701 0.483 0.984

Properties
Calculated volume in Å³ per atom: 13.760
Total energy in eV per atom: -7.196
Size of the total moment in μB/f.u.: 0.0

---

Entry 2:
VASP calculation (GGA-PBE) on a geometry-optimized ZrB3H structure.

Cell lengths 4.605, 4.605, 4.605 Å; angles 90.00, 90.00, 90.00 degrees
Each line ends with the local moment (μB).
Element x y z (fractional)
H 0.500 0.500 0.500  0.32
B 0.000 0.500 0.000  -0.09
B 0.000 0.000 0.500  -0.07
B 0.500 0.000 0.000  -0.11
Zr 0.000 0.000 0.000  -0.21

Properties
Calculated volume in Å³ per atom: 19.529
Total energy in eV per atom: -3.918
Polymorph energy (0 for the lowest one) in eV/f.u.: 8.94
Size of the total moment in μB/f.u.: 0.2

---

Entry 3:
VASP calculation (GGA-PBE) on a geometry-optimized ZrB3H structure.

Cell lengths 3.511, 3.511, 3.511 Å; angles 90.00, 90.00, 90.00 degrees
Element x y z (fractional)
H 0.000 0.000 0.000
B 0.000 0.500 0.000
B 0.000 0.000 0.500
B 0.500 0.000 0.000
Zr 0.500 0.500 0.500

Properties
Calculated volume in Å³ per atom: 8.654
Total energy in eV per atom: -5.705
Polymorph energy (0 for the lowest one) in eV/f.u.: 0.00
Size of the total moment in μB/f.u.: 0.0

---

Number 1: DOS(E_F) 3.88 states/eV per cell. Number 2: DOS(E_F) 4.02 states/eV per cell. Number 3: DOS(E_F) 1.02 states/eV per cell.